The following is a PBE-GGA calculation of an optimized crystal structure of ThTc4P2, from the Alexandria database.

Output
**Raw total energy**: -9.257 eV per atom
**Formation energy**: -728 meV/atom

Cell: 4.1004 13.6137 4.0570 Å, 90.00 90.00 90.00°
Closest atoms and distances in Å follow each position.
Space group Cmmm (No. 65)
Symmetry-distinct sites (fractional):
1 Th 0.0000 0.0000 0.0000 (multiplicity 2)  8 P 3.13, 8 Tc 3.22-3.31
2 Tc 0.0000 0.1841 0.5000 (multiplicity 4)  2 P 2.42, 2 Tc 2.64
3 Tc 0.0000 0.3087 0.0000 (multiplicity 4)  2 P 2.46, 4 Tc 2.60-2.64
4 P 0.0000 0.4109 0.5000 (multiplicity 4)  4 Tc 2.42-2.46, 1 P 2.42


The following is a PBE-GGA calculation of an optimized crystal structure of ThTc4P3, from the Alexandria database.

Output
**Raw total energy**: -8.732 eV per atom
**Formation energy**: -593 meV/atom

Cell: 4.0720 4.0720 7.8467 Å, 90.00 90.00 90.00°
Closest atoms and distances in Å follow each position.
Space group P4/mmm (No. 123)
Symmetry-distinct sites (fractional):
1 Th 0.0000 0.0000 0.0000 (multiplicity 1)  8 P 3.17, 8 Tc 3.26
2 Tc 0.0000 0.5000 0.3238 (multiplicity 4)  4 P 2.37-2.46
3 P 0.0000 0.0000 0.5000 (multiplicity 1)  8 Tc 2.46
4 P 0.5000 0.5000 0.1697 (multiplicity 2)  4 Tc 2.37


The following is a PBE-GGA calculation of an optimized crystal structure of ThTc2P2, from the Alexandria database.

Output
**Raw total energy**: -8.716 eV per atom
**Formation energy**: -921 meV/atom

Cell: 4.2003 4.2003 9.7377 Å, 90.00 90.00 90.00°
Closest atoms and distances in Å follow each position.
Space group I4/mmm (No. 139)
Symmetry-distinct sites (fractional):
1 Th 0.0000 0.0000 0.0000 (multiplicity 2)  8 Tc 3.22, 10 P 3.25-3.55
2 Tc 0.0000 0.5000 0.2500 (multiplicity 4)  4 P 2.38
3 P 0.0000 0.0000 0.3646 (multiplicity 4)  4 Tc 2.38, 1 P 2.64


The following is a PBE-GGA calculation of an optimized crystal structure of Th2TcP, from the Alexandria database.

Output
**Raw total energy**: -7.661 eV per atom
**Formation energy**: -7 meV/atom

Cell: 3.7113 3.7113 26.6123 Å, 90.00 90.00 120.00°
Closest atoms and distances in Å follow each position.
Space group R-3m (No. 166, hexagonal axes)
Symmetry-distinct sites (fractional):
1 Th 0.0000 0.0000 0.0958 (multiplicity 6)  1 Tc 2.55, 3 P 2.85
2 Tc 0.0000 0.0000 0.0000 (multiplicity 3)  2 Th 2.55
3 P 0.0000 0.0000 0.5000 (multiplicity 3)  6 Th 2.85